No. 1
First-principles (GGA-PBEsol) data for a relaxed CuNi2Pt crystal, as listed in the Alexandria database.

## Properties
Density of states at the Fermi level (states/eV/cell): 5.332
Mass density (Mg/m³): 12.9

Geometry as POSCAR:
```
CuNi2Pt
1.0
2.603 0.000 0.000
1.302 2.254 0.000
1.302 0.751 8.216
Ni Cu Pt
2 1 1
Direct
0.001 0.001 0.996
0.745 0.745 0.766
0.255 0.255 0.235
0.499 0.499 0.503
```

***

No. 2
First-principles (GGA-PBEsol) data for a relaxed CuNiPt2 crystal, as listed in the Alexandria database.

## Properties
Density of states at the Fermi level (states/eV/cell): 3.926
Mass density (Mg/m³): 16.3

Geometry as POSCAR:
```
CuNiPt2
1.0
3.826 0.000 0.000
0.000 3.826 0.000
-1.913 -1.913 3.562
Ni Cu Pt
1 1 2
Direct
0.000 0.000 0.000
0.500 0.500 0.000
0.750 0.250 0.500
0.250 0.750 0.500
```

***

No. 3
First-principles (GGA-PBEsol) data for a relaxed CuNiPt2 crystal, as listed in the Alexandria database.

## Properties
Density of states at the Fermi level (states/eV/cell): 5.309
Mass density (Mg/m³): 16.2

Geometry as POSCAR:
```
CuNiPt2
1.0
2.683 0.000 0.000
0.000 3.725 0.000
0.000 0.000 5.255
Ni Cu Pt
1 1 2
Direct
0.500 0.500 0.751
0.000 0.000 0.502
0.000 0.000 0.981
0.500 0.500 0.265
```

***

No. 4
First-principles (GGA-PBEsol) data for a relaxed CuNi2Pt crystal, as listed in the Alexandria database.

## Properties
Density of states at the Fermi level (states/eV/cell): 5.280
Mass density (Mg/m³): 13.1

Geometry as POSCAR:
```
CuNi2Pt
1.0
-1.544 0.867 -1.926
-2.071 -3.868 -0.082
-1.548 1.690 3.780
Ni Cu Pt
2 1 1
Direct
0.998 0.000 0.996
0.254 0.756 0.507
0.747 0.238 0.493
0.502 0.506 0.004
```

***

No. 5
First-principles (GGA-PBEsol) data for a relaxed CuNi2Pt crystal, as listed in the Alexandria database.

## Properties
Density of states at the Fermi level (states/eV/cell): 5.261
Mass density (Mg/m³): 13.1

Geometry as POSCAR:
```
CuNi2Pt
1.0
-0.847 2.454 0.233
-3.948 -1.353 -0.113
0.015 -0.409 4.361
Ni Cu Pt
2 1 1
Direct
0.000 0.000 0.045
0.000 0.500 0.710
0.500 0.500 0.197
0.500 0.000 0.548
```

***

No. 6
First-principles (GGA-PBEsol) data for a relaxed CuNi2Pt crystal, as listed in the Alexandria database.

## Properties
Density of states at the Fermi level (states/eV/cell): 5.960
Mass density (Mg/m³): 13.2

Geometry as POSCAR:
```
CuNi2Pt
1.0
-0.034 1.246 2.328
0.893 -2.186 1.183
6.391 2.064 -1.012
Ni Cu Pt
2 1 1
Direct
0.000 0.000 0.736
0.000 0.000 0.264
0.500 0.500 0.500
0.500 0.500 0.000
```

***

No. 7
First-principles (GGA-PBEsol) data for a relaxed CuNiPt2 crystal, as listed in the Alexandria database.

## Properties
Density of states at the Fermi level (states/eV/cell): 5.584
Mass density (Mg/m³): 16.4

Geometry as POSCAR:
```
CuNiPt2
1.0
2.712 0.000 0.000
0.000 2.712 0.000
0.000 0.000 7.068
Ni Cu Pt
1 1 2
Direct
0.500 0.500 0.737
0.000 0.000 0.518
0.000 0.000 0.978
0.500 0.500 0.267
```

***

No. 8
First-principles (GGA-PBEsol) data for a relaxed CuNi2Pt crystal, as listed in the Alexandria database.

## Properties
Density of states at the Fermi level (states/eV/cell): 4.400
Mass density (Mg/m³): 13.2

Geometry as POSCAR:
```
CuNi2Pt
1.0
-2.275 -2.766 0.575
2.441 -1.553 2.189
-1.494 3.906 1.432
Ni Cu Pt
2 1 1
Direct
0.000 0.000 0.000
0.750 0.250 0.500
0.250 0.750 0.500
0.500 0.500 0.000
```

***

No. 9
First-principles (GGA-PBEsol) data for a relaxed CuNi2Pt crystal, as listed in the Alexandria database.

## Properties
Density of states at the Fermi level (states/eV/cell): 4.812
Mass density (Mg/m³): 13.2

Geometry as POSCAR:
```
CuNi2Pt
1.0
-0.911 -3.504 -0.119
3.480 -0.911 0.178
-0.204 -0.070 3.616
Ni Cu Pt
2 1 1
Direct
0.000 0.000 0.000
0.500 0.000 0.500
0.000 0.500 0.500
0.500 0.500 0.000
```

***

No. 10
First-principles (GGA-PBEsol) data for a relaxed CuNi2Pt crystal, as listed in the Alexandria database.

## Properties
Density of states at the Fermi level (states/eV/cell): 5.555
Mass density (Mg/m³): 13.2

Geometry as POSCAR:
```
CuNi2Pt
1.0
2.604 0.000 0.000
0.000 4.388 0.011
0.000 -1.422 4.151
Ni Cu Pt
2 1 1
Direct
0.000 0.500 0.000
0.000 0.000 0.500
0.500 0.500 0.500
0.500 0.000 0.000
```

***

No. 11
First-principles (GGA-PBEsol) data for a relaxed CuNiPt2 crystal, as listed in the Alexandria database.

## Properties
Density of states at the Fermi level (states/eV/cell): 5.449
Mass density (Mg/m³): 16.3

Geometry as POSCAR:
```
CuNiPt2
1.0
-1.564 -0.818 1.987
0.849 -3.845 -0.915
4.585 0.525 2.047
Ni Cu Pt
1 1 2
Direct
0.320 0.500 0.762
0.182 0.000 0.491
0.920 0.000 0.965
0.578 0.500 0.283
```

***

No. 12
First-principles (GGA-PBEsol) data for a relaxed CuNiPt2 crystal, as listed in the Alexandria database.

## Properties
Density of states at the Fermi level (states/eV/cell): 5.490
Mass density (Mg/m³): 16.3

Geometry as POSCAR:
```
CuNiPt2
1.0
2.697 0.000 0.000
0.000 4.483 -0.044
-1.348 -0.883 4.328
Ni Cu Pt
1 1 2
Direct
0.753 0.241 0.505
0.495 0.506 0.990
0.005 0.021 0.010
0.247 0.732 0.495
```

***

no.,magnetization (μB/f.u.),energy relative to the elements (eV per atom),calculated total energy (eV/atom)
1,1.3,0.02,-5.8837
2,1.4,-0.09,-6.1976
3,1.2,-0.05,-6.1500
4,1.2,-0.04,-5.9433
5,1.1,-0.03,-5.9284
6,1.2,-0.01,-5.9106
7,1.0,-0.03,-6.1366
8,1.4,-0.05,-5.9541
9,1.0,-0.05,-5.9539
10,0.7,-0.06,-5.9584
11,1.2,-0.02,-6.1269
12,1.1,-0.07,-6.1725